VASP calculation (GGA-PBE) on a relaxed Ce4P3Rh12Pb crystal.

Computed properties:
Fermi-level density of states = 1.8174 states/eV/atom
Space group = Im-3m
Formation energy from the elements = -386 meV/atom

a = 7.9725 Å, b = 7.9725 Å, c = 7.9725 Å
α = 109.47°, β = 109.47°, γ = 109.47°
Last column: nearest neighbours and their distance in Å.
Fractional positions:
Ce: 0.0000 0.0000 0.5000  12 Rh 3.25-3.26
Ce: 0.0000 0.5000 0.0000  12 Rh 3.25-3.26
Ce: 0.5000 0.0000 0.0000  12 Rh 3.25-3.26
Ce: 0.5000 0.5000 0.5000  12 Rh 3.25-3.26
P: 0.0000 0.5000 0.5000  6 Rh 2.10-2.30
P: 0.5000 0.0000 0.5000  6 Rh 2.10-2.30
P: 0.5000 0.5000 0.0000  6 Rh 2.10-2.30
Rh: 0.0000 0.2723 0.2723  1 P 2.10
Rh: 0.0000 0.7277 0.7277  1 P 2.10
Rh: 0.2500 0.5000 0.7500  2 P 2.30
Rh: 0.2500 0.7500 0.5000  2 P 2.30
Rh: 0.2723 0.0000 0.2723  1 P 2.10
Rh: 0.2723 0.2723 0.0000  1 P 2.10
Rh: 0.5000 0.2500 0.7500  2 P 2.30
Rh: 0.5000 0.7500 0.2500  2 P 2.30
Rh: 0.7277 0.0000 0.7277  1 P 2.10
Rh: 0.7277 0.7277 0.0000  1 P 2.10
Rh: 0.7500 0.2500 0.5000  2 P 2.30
Rh: 0.7500 0.5000 0.2500  2 P 2.30
Pb: 0.0000 0.0000 0.0000  6 Rh 2.51

VASP calculation (GGA-PBE) on a relaxed Ce3P2Rh9Pb crystal.

Computed properties:
Fermi-level density of states = 0.6709 states/eV/atom
Space group = P-3m1
Formation energy from the elements = -610 meV/atom

a = 5.7413 Å, b = 5.7413 Å, c = 10.5282 Å
α = 90.00°, β = 90.00°, γ = 120.00°
Last column: nearest neighbours and their distance in Å.
Fractional positions:
Ce: 0.0000 0.0000 0.0000  6 Rh 2.87
Ce: 0.3333 0.6667 0.7175  6 Rh 2.87
Ce: 0.6667 0.3333 0.2825  6 Rh 2.87
P: 0.3333 0.6667 0.1525  6 Rh 2.23-2.31
P: 0.6667 0.3333 0.8475  6 Rh 2.23-2.31
Rh: 0.0000 0.5000 0.0000  2 P 2.31
Rh: 0.1579 0.3157 0.2836  1 P 2.23
Rh: 0.1579 0.8421 0.2836  1 P 2.23
Rh: 0.3157 0.1579 0.7164  1 P 2.23
Rh: 0.5000 0.0000 0.0000  2 P 2.31
Rh: 0.5000 0.5000 0.0000  2 P 2.31
Rh: 0.6843 0.8421 0.2836  1 P 2.23
Rh: 0.8421 0.1579 0.7164  1 P 2.23
Rh: 0.8421 0.6843 0.7164  1 P 2.23
Pb: 0.0000 0.0000 0.5000  6 Rh 2.77

VASP calculation (GGA-PBE) on a relaxed CeP2Rh5Pb crystal.

Computed properties:
Fermi-level density of states = 0.9094 states/eV/atom
Space group = P4/mmm
Formation energy from the elements = -607 meV/atom

a = 4.0674 Å, b = 4.0674 Å, c = 10.3587 Å
α = 90.00°, β = 90.00°, γ = 90.00°
Last column: nearest neighbours and their distance in Å.
Fractional positions:
Ce: 0.0000 0.0000 0.0000  4 Rh 2.88
P: 0.5000 0.5000 0.2193  5 Rh 2.26-2.27
P: 0.5000 0.5000 0.7807  5 Rh 2.26-2.27
Rh: 0.0000 0.5000 0.3147  2 P 2.26
Rh: 0.0000 0.5000 0.6853  2 P 2.26
Rh: 0.5000 0.0000 0.3147  2 P 2.26
Rh: 0.5000 0.0000 0.6853  2 P 2.26
Rh: 0.5000 0.5000 0.0000  2 P 2.27
Pb: 0.0000 0.0000 0.5000  8 Rh 2.80

VASP calculation (GGA-PBE) on a relaxed Ce4PPbSe2 crystal.

Computed properties:
Fermi-level density of states = 2.7476 states/eV/atom
Formation energy from raw total energies = -1333.1 meV/atom
Space group = P2/m

a = 7.3560 Å, b = 4.2660 Å, c = 7.4722 Å
α = 90.00°, β = 109.38°, γ = 90.00°
Last column: nearest neighbours and their distance in Å.
Fractional positions:
Ce: 0.2416 0.0000 0.2302  3 Se 2.94-3.10, 1 P 2.96, 2 Pb 3.11
Ce: 0.2551 0.5000 0.7679  3 Se 2.95-3.10, 2 P 2.95, 1 Pb 3.11
Ce: 0.7449 0.5000 0.2321  3 Se 2.95-3.10, 2 P 2.95, 1 Pb 3.11
Ce: 0.7584 0.0000 0.7698  3 Se 2.94-3.10, 1 P 2.96, 2 Pb 3.11
P: 0.5000 0.0000 0.0000  6 Ce 2.95-2.96
Pb: 0.5000 0.5000 0.5000  6 Ce 3.11
Se: 0.0000 0.0000 0.5000  6 Ce 3.10
Se: 0.0000 0.5000 0.0000  6 Ce 2.94-2.95

VASP calculation (GGA-PBE) on a relaxed Ce6P2PbSe3 crystal.

Computed properties:
Fermi-level density of states = 2.7282 states/eV/atom
Formation energy from raw total energies = -1451.4 meV/atom
Space group = C2/m

a = 9.4485 Å, b = 9.4485 Å, c = 8.5069 Å
α = 102.55°, β = 102.55°, γ = 25.83°
Last column: nearest neighbours and their distance in Å.
Fractional positions:
Ce: 0.0066 0.0066 0.2684  3 Se 2.91-3.04, 1 P 2.91, 2 Pb 3.09
Ce: 0.3266 0.3266 0.8994  2 P 2.93, 3 Se 2.95-3.08, 1 Pb 3.12
Ce: 0.3299 0.3299 0.4251  3 P 2.89-2.93, 3 Se 3.06-3.07
Ce: 0.6701 0.6701 0.5749  3 P 2.89-2.93, 3 Se 3.06-3.07
Ce: 0.6734 0.6734 0.1006  2 P 2.93, 3 Se 2.95-3.08, 1 Pb 3.12
Ce: 0.9934 0.9934 0.7316  3 Se 2.91-3.04, 1 P 2.91, 2 Pb 3.09
P: 0.1688 0.1688 0.3362  6 Ce 2.89-2.93
P: 0.8312 0.8312 0.6638  6 Ce 2.89-2.93
Pb: 0.5000 0.5000 0.0000  6 Ce 3.09-3.12
Se: 0.1627 0.1627 0.8324  6 Ce 2.95-3.08
Se: 0.5000 0.5000 0.5000  6 Ce 2.91-3.06
Se: 0.8373 0.8373 0.1676  6 Ce 2.95-3.08

VASP calculation (GGA-PBE) on a relaxed CeP3Pd5 crystal.

Computed properties:
Fermi-level density of states = 1.0060 states/eV/atom
Space group = Cmcm
Formation energy from the elements = -663 meV/atom

a = 6.7322 Å, b = 6.7322 Å, c = 12.0294 Å
α = 90.00°, β = 90.00°, γ = 145.96°
Last column: nearest neighbours and their distance in Å.
Fractional positions:
Ce: 0.1255 0.8745 0.7500  5 P 2.98-3.31
Ce: 0.8745 0.1255 0.2500  5 P 2.98-3.31
P: 0.1317 0.8683 0.2500  6 Pd 2.37-2.47
P: 0.3988 0.6012 0.0657  5 Pd 2.29-2.49
P: 0.3988 0.6012 0.4343  5 Pd 2.29-2.49
P: 0.6012 0.3988 0.5657  5 Pd 2.29-2.49
P: 0.6012 0.3988 0.9343  5 Pd 2.29-2.49
P: 0.8683 0.1317 0.7500  6 Pd 2.37-2.47
Pd: 0.0000 0.0000 0.0000  4 P 2.49, 4 Pd 2.78
Pd: 0.0000 0.0000 0.5000  4 P 2.49, 4 Pd 2.78
Pd: 0.2214 0.7786 0.0780  2 P 2.29-2.37
Pd: 0.2214 0.7786 0.4220  2 P 2.29-2.37
Pd: 0.4200 0.5800 0.6389  4 P 2.47-2.49, 1 Pd 2.67
Pd: 0.4200 0.5800 0.8611  4 P 2.47-2.49, 1 Pd 2.67
Pd: 0.5800 0.4200 0.1389  4 P 2.47-2.49, 1 Pd 2.67
Pd: 0.5800 0.4200 0.3611  4 P 2.47-2.49, 1 Pd 2.67
Pd: 0.7786 0.2214 0.5780  2 P 2.29-2.37
Pd: 0.7786 0.2214 0.9220  2 P 2.29-2.37

no.,total magnetization (μB per cell)
1,4.31
2,0.56
3,0.68
4,3.33
5,5.06
6,1.41